Here is crystalline GaCuN2Cl at its relaxed geometry from the Alexandria database. Energies are from PBE-GGA.

Results
Uncorrected formation energy in eV/atom: 1.134
Space group: P4/mmm (123)
Crystal system: tetragonal
DOS at the Fermi energy in states/eV/f.u.: 3.11

Lattice parameters (Å, degrees): 3.7232 3.7232 6.0304 90.00 90.00 90.00
Positions (direct):
Ga 0.0000 0.0000 0.0000
Cu 0.5000 0.5000 0.5000
N 0.0000 0.5000 0.0000
N 0.5000 0.0000 0.0000
Cl 0.0000 0.0000 0.5000